An optimized crystal structure of Cu2AgIr, computed with PBE.

Symmetry: Imm2 (44)
Total magnetization (μB per atom): 0.028
ΔE_f (eV per atom): 0.232
Relative energy among the computed polymorphs (meV per atom): 81

abc: 5.2761 5.2761 5.2761
angles: 149.96 129.39 59.98
Sites, in units of the cell vectors:
Cu1 0.0000 0.0000 0.0000
Cu2 0.7693 0.2693 0.5000
Ag1 0.5155 0.5155 0.0000
Ir1 0.2430 0.7430 0.5000